No. 1
BaTbGa2 | PBE | relaxed

POSCAR file:
```
BaTbGa2
1.0
1.9370 1.1183 9.4087
-1.9370 1.1183 9.4087
0.0000 -2.2366 9.4087
Ba Tb Ga
1 1 2
direct
0.0000 0.0000 0.0000 Ba
0.5000 0.5000 0.5000 Tb
0.2411 0.2411 0.2411 Ga
0.7589 0.7589 0.7589 Ga
```

Output
The offset from the most stable computed form comes out at 266 meV per atom. The space group is R-3m, No. 166. Its total magnetic moment is 0.00 μB per formula unit.

***

No. 2
YTi3Pd | PBE | relaxed

POSCAR file:
```
YTi3Pd
1.0
4.7385 0.0000 0.0000
0.0000 4.7385 0.0000
0.0000 0.0000 4.7385
Y Ti Pd
1 3 1
direct
0.0000 0.0000 0.0000 Y
0.0000 0.0000 0.5000 Ti
0.0000 0.5000 0.0000 Ti
0.5000 0.0000 0.0000 Ti
0.5000 0.5000 0.5000 Pd
```

Output
The offset from the most stable computed form comes out at 1130 meV per atom. The space group is Pm-3m, No. 221. Its total magnetic moment is 0.94 μB per formula unit.

***

No. 3
Li2In2Sb | PBE | relaxed

POSCAR file:
```
Li2In2Sb
1.0
7.0778 0.0000 0.0000
0.0000 7.0778 0.0000
0.0000 0.0000 4.5511
Li In Sb
4 4 2
direct
0.1439 0.3561 0.0000 Li
0.3561 0.8561 0.0000 Li
0.6439 0.1439 0.0000 Li
0.8561 0.6439 0.0000 Li
0.1641 0.6641 0.5000 In
0.3359 0.1641 0.5000 In
0.6641 0.8359 0.5000 In
0.8359 0.3359 0.5000 In
0.0000 0.0000 0.0000 Sb
0.5000 0.5000 0.0000 Sb
```

Output
The offset from the most stable computed form comes out at 0 meV per atom. The space group is P4/mbm, No. 127. Its total magnetic moment is 0.00 μB per formula unit. The raw formation energy comes out at -197 meV per atom.

***

No. 4
Co2CuHg | PBE | relaxed

POSCAR file:
```
Co2CuHg
1.0
4.2847 -1.3942 0.0000
4.2847 1.3942 0.0000
-0.9145 0.0000 4.6668
Co Cu Hg
2 1 1
direct
0.0000 0.0000 0.0000 Co
0.7352 0.7352 0.1801 Co
0.4818 0.4818 0.4268 Cu
0.2410 0.2410 0.6921 Hg
```

Output
For the raw total energy, the calculation gives -4.29 eV/atom. The space group is Cm, No. 8. Its total magnetic moment is 3.09 μB per formula unit.

***

No. 5
HgC2 | PBE | relaxed

POSCAR file:
```
HgC2
1.0
2.1496 -7.8038 0.0000
2.1496 7.8038 0.0000
0.0000 0.0000 7.7403
Hg C
3 6
direct
0.0000 0.0000 0.0000 Hg
0.3123 0.6877 0.5000 Hg
0.6877 0.3123 0.5000 Hg
0.0801 0.2333 0.5000 C
0.2333 0.0801 0.5000 C
0.3316 0.3316 0.5000 C
0.6684 0.6684 0.5000 C
0.7667 0.9199 0.5000 C
0.9199 0.7667 0.5000 C
```

Output
The offset from the most stable computed form comes out at 200 meV per atom. The space group is Cmmm, No. 65. Its total magnetic moment is 0.00 μB per formula unit.

***

No. 6
Pm2HoPaSb4 | PBE | relaxed

POSCAR file:
```
Pm2HoPaSb4
1.0
7.6526 0.0000 0.0000
0.0000 4.4251 0.0000
-2.5475 0.0000 7.2516
Pm Ho Pa Sb
2 1 1 4
direct
0.0000 0.0000 0.0000 Pm
0.5000 0.5000 0.0000 Pm
0.0000 0.5000 0.5000 Ho
0.5000 0.0000 0.5000 Pa
0.2479 0.0000 0.7407 Sb
0.2524 0.5000 0.2580 Sb
0.7476 0.5000 0.7420 Sb
0.7521 0.0000 0.2593 Sb
```

Output
The space group is P2/m, No. 10. Its total magnetic moment is 0.79 μB per formula unit. The raw formation energy comes out at -984 meV per atom.

***

Q: Number 6 is which compound?
A: Pm2HoPaSb4

***

Q: Number 3 is which compound?
A: Li2In2Sb

***

Q: What is the total magnetic moment in the fifth record?
A: 0.00 μB per formula unit

***

Q: The highest total magnetic moment belongs to which entry?
A: Co2CuHg